1.
A plane-wave DFT calculation with PBE was carried out for a relaxed KPrBi2 crystal.

Results
- polymorph energy (0 for the lowest one) (eV per atom) = 0.111

a b c (Å): 6.143 6.143 3.565
angles (deg): 90.00 90.00 90.00
Space group P4/mmm (No. 123)
Symmetry-distinct sites (fractional):
K: 0.000 0.000 0.000 [1 per cell]
Pr: 0.500 0.500 0.000 [1 per cell]
Bi: 0.000 0.500 0.500 [2 per cell]


2.
A plane-wave DFT calculation with PBE was carried out for a relaxed NaAlPb crystal.

Results
- calculated total energy (eV/f.u.) = -8.591

a b c (Å): 4.542 4.526 7.577
angles (deg): 90.00 106.56 90.00
Space group P2/m (No. 10)
Symmetry-distinct sites (fractional):
Na: 0.166 0.000 0.325 [2 per cell]
Al: 0.000 0.500 0.000 [1 per cell]
Al: 0.500 0.000 0.000 [1 per cell]
Pb: 0.346 0.500 0.708 [2 per cell]


3.
A plane-wave DFT calculation with PBE was carried out for a relaxed Zr2NbRu2 crystal.

Results
- polymorph energy (0 for the lowest one) (eV per atom) = 0.444

a b c (Å): 4.347 4.347 10.720
angles (deg): 90.00 90.00 90.00
Space group I4/mmm (No. 139)
Symmetry-distinct sites (fractional):
Zr: 0.000 0.500 0.250 [4 per cell]
Nb: 0.000 0.000 0.000 [2 per cell]
Ru: 0.000 0.000 0.390 [4 per cell]


4.
A plane-wave DFT calculation with PBE was carried out for a relaxed NiHgC crystal.

Results
- polymorph energy (0 for the lowest one) (eV per atom) = 0.000

a b c (Å): 5.225 3.044 5.590
angles (deg): 90.00 107.56 90.00
Space group Cm (No. 8)
Symmetry-distinct sites (fractional):
Ni: 0.000 0.000 0.000 [2 per cell]
Hg: 0.478 0.000 0.439 [2 per cell]
C: 0.122 0.500 0.869 [2 per cell]


5.
A plane-wave DFT calculation with PBE was carried out for a relaxed Ta2Sn2Au crystal.

Results
- polymorph energy (0 for the lowest one) (eV per atom) = 0.130

a b c (Å): 8.394 8.394 3.005
angles (deg): 90.00 90.00 90.00
Space group P4/mbm (No. 127)
Symmetry-distinct sites (fractional):
Ta: 0.115 0.385 0.000 [4 per cell]
Sn: 0.179 0.679 0.500 [4 per cell]
Au: 0.000 0.000 0.500 [2 per cell]


6.
A plane-wave DFT calculation with PBE was carried out for a relaxed PuPa2Tc crystal.

Results
- polymorph energy (0 for the lowest one) (eV per atom) = 0.034

a b c (Å): 5.188 3.859 8.910
angles (deg): 90.00 99.49 90.00
Space group C2/m (No. 12)
Symmetry-distinct sites (fractional):
Pu: 0.000 0.000 0.000 [2 per cell]
Pa: 0.036 0.500 0.723 [4 per cell]
Tc: 0.000 0.000 0.500 [2 per cell]


7.
A plane-wave DFT calculation with PBE was carried out for a relaxed TbYBiSe crystal.

Results
- formation energy without anion corrections (eV/atom) = -1.255

a b c (Å): 4.2185 4.2185 21.9976
angles (deg): 90.00 90.00 120.00
Space group R3m (No. 160, hexagonal axes)
Symmetry-distinct sites (fractional):
Tb: 0.0000 0.0000 0.0000 [3 per cell]
Y: 0.0000 0.0000 0.1834 [3 per cell]
Bi: 0.0000 0.0000 0.4250 [3 per cell]
Se: 0.0000 0.0000 0.5945 [3 per cell]


8.
A plane-wave DFT calculation with PBE was carried out for a relaxed TlTeIr2 crystal.

Results
- formation energy without anion corrections (eV/atom) = 0.579
- polymorph energy (0 for the lowest one) (eV per atom) = 0.195

a b c (Å): 4.889 4.889 3.143
angles (deg): 90.00 90.00 90.00
Space group P4/mmm (No. 123)
Symmetry-distinct sites (fractional):
Tl: 0.000 0.000 0.000 [1 per cell]
Te: 0.500 0.500 0.000 [1 per cell]
Ir: 0.000 0.500 0.500 [2 per cell]


9.
A plane-wave DFT calculation with PBE was carried out for a relaxed In2HgW crystal.

Results
- calculated total energy (eV/f.u.) = -16.447

a b c (Å): 5.310 5.310 2.966
angles (deg): 90.00 90.00 90.00
Space group P4/mmm (No. 123)
Symmetry-distinct sites (fractional):
In: 0.000 0.500 0.000 [2 per cell]
Hg: 0.000 0.000 0.500 [1 per cell]
W: 0.500 0.500 0.500 [1 per cell]


10.
A plane-wave DFT calculation with PBE was carried out for a relaxed Zn3OsBr crystal.

Results
- formation energy without anion corrections (eV/atom) = 0.666
- polymorph energy (0 for the lowest one) (eV per atom) = 0.000

a b c (Å): 4.928 4.928 4.928
angles (deg): 90.00 90.00 90.00
Space group Pm-3m (No. 221)
Symmetry-distinct sites (fractional):
Zn: 0.000 0.000 0.500 [3 per cell]
Os: 0.000 0.000 0.000 [1 per cell]
Br: 0.500 0.500 0.500 [1 per cell]


11.
A plane-wave DFT calculation with PBE was carried out for a relaxed Tl6BiPb3 crystal.

Results
- polymorph energy (0 for the lowest one) (eV per atom) = 0.000

a b c (Å): 12.656 3.448 15.627
angles (deg): 90.00 111.79 90.00
Space group P2_1/m (No. 11)
Symmetry-distinct sites (fractional):
Tl: 0.030 0.250 0.409 [2 per cell]
Tl: 0.129 0.250 0.997 [2 per cell]
Tl: 0.193 0.250 0.793 [2 per cell]
Tl: 0.256 0.750 0.390 [2 per cell]
Tl: 0.305 0.750 0.193 [2 per cell]
Tl: 0.455 0.750 0.804 [2 per cell]
Bi: 0.375 0.750 0.993 [2 per cell]
Pb: 0.059 0.250 0.197 [2 per cell]
Pb: 0.235 0.750 0.597 [2 per cell]
Pb: 0.471 0.250 0.588 [2 per cell]


12.
A plane-wave DFT calculation with PBE was carried out for a relaxed Mn3AlFe crystal.

Results
- polymorph energy (0 for the lowest one) (eV per atom) = 0.662

a b c (Å): 4.438 4.438 4.438
angles (deg): 90.00 90.00 90.00
Space group Pm-3m (No. 221)
Symmetry-distinct sites (fractional):
Mn: 0.000 0.000 0.500 [3 per cell]
Al: 0.000 0.000 0.000 [1 per cell]
Fe: 0.500 0.500 0.500 [1 per cell]


| no. | magnetization (μB/f.u.) |
| --- | --- |
| 1 | 0.316 |
| 2 | 0.000 |
| 3 | 0.000 |
| 4 | 0.000 |
| 5 | 0.000 |
| 6 | 4.837 |
| 7 | 0.000 |
| 8 | 0.000 |
| 9 | 0.001 |
| 10 | 1.169 |
| 11 | 0.000 |
| 12 | 10.155 |